First-principles (PBE with a Hubbard U) data for a relaxed structure of NaVF3, as listed in Alexandria via LeMat-Bulk.

Unit cell a=5.7187 b=5.7187 c=9.8379 alpha=106.97 beta=106.97 gamma=61.22
Fractional coordinates of all 20 atoms:
Na1 0.1067 0.6116 0.8592
Na2 0.3884 0.8933 0.6408
Na3 0.6116 0.1067 0.3592
Na4 0.8933 0.3884 0.1408
V1 0.0000 0.5000 0.5000
V2 0.2508 0.7492 0.2500
V3 0.5000 0.0000 0.0000
V4 0.7492 0.2508 0.7500
F1 0.1590 0.1616 0.8405
F2 0.1616 0.1590 0.3405
F3 0.1886 0.6898 0.4393
F4 0.3102 0.8114 0.0607
F5 0.3389 0.3413 0.6607
F6 0.3413 0.3389 0.1607
F7 0.6587 0.6611 0.8393
F8 0.6611 0.6587 0.3393
F9 0.6898 0.1886 0.9393
F10 0.8114 0.3102 0.5607
F11 0.8384 0.8410 0.6595
F12 0.8410 0.8384 0.1595

Calculated values
Its final energy is -111.7 eV for the cell shown. The calculation puts the calculated volume at 265.27 Å³ per cell.